A plane-wave DFT calculation with PBE-GGA was carried out for a geometry-optimized NpReIr structure.

Unit cell a=4.4151 b=4.4151 c=4.4151 alpha=60.00 beta=60.00 gamma=60.00
Closest atoms and distances in Å follow each position.
Fractional positions:
Ir1 0.0000 0.0000 0.0000  4 Re 2.70, 4 Np 2.70
Np1 0.7500 0.7500 0.7500  4 Ir 2.70
Re1 0.2500 0.2500 0.2500  4 Ir 2.70

Values from the calculation:
Calculated total energy ... -32.30 eV per cell
Formation energy ... 0.58 eV/atom
Symmetry ... F-43m, No. 216